(1)
Material: Be3FeHg
Method: DFT, meta-GGA SCAN
State: PBEsol geometry

Structure (POSCAR):
```
Be3FeHg
1.0
3.9957 0.0000 0.0000
0.0000 3.9957 0.0000
0.0000 0.0000 3.9957
Be Fe Hg
3 1 1
Cartesian
0.0000 0.0000 1.9978
0.0000 1.9978 0.0000
1.9978 0.0000 0.0000
0.0000 0.0000 0.0000
1.9978 1.9978 1.9978
```

Results
Total magnetization (μB per formula unit): 0.00
Energy (eV/atom): -19.048



(2)
Material: Zn2Se
Method: DFT, meta-GGA SCAN
State: PBEsol geometry

Structure (POSCAR):
```
Zn2Se
1.0
3.6575 0.0000 0.0000
-1.8287 3.1675 0.0000
0.0000 0.0000 4.6856
Zn Se
2 1
Cartesian
0.0000 2.1116 1.5132
1.8287 1.0558 3.1724
0.0000 0.0000 0.0000
```

Results
Total magnetization (μB per formula unit): 0.00
Energy above the most stable polymorph in this dataset (meV per atom): 0
Energy relative to the elements, uncorrected (eV/atom): -0.147



(3)
Material: VSn2
Method: DFT, meta-GGA SCAN
State: PBEsol geometry

Structure (POSCAR):
```
VSn2
1.0
0.0000 4.6728 9.2361
2.7180 0.0000 9.2361
2.7180 4.6728 0.0000
V Sn
4 8
Cartesian
2.0385 3.5046 0.0439
3.3975 5.8410 4.6620
2.0385 3.5046 13.8102
3.3975 5.8410 18.4283
2.0385 0.3879 6.9271
2.0385 3.5046 5.3774
3.3975 2.7243 11.5451
2.0385 3.5046 8.4767
3.3975 5.8410 9.9955
2.0385 6.6212 6.9271
3.3975 5.8410 13.0948
3.3975 8.9576 11.5451
```

Results
Total magnetization (μB per formula unit): 0.00
Energy (eV/atom): -29.829



(4)
Material: InPt2Au
Method: DFT, meta-GGA SCAN
State: PBEsol geometry

Structure (POSCAR):
```
InPt2Au
1.0
2.9689 0.0000 0.0000
0.0000 3.8172 0.0000
0.0000 0.0000 5.8140
In Pt Au
1 2 1
Cartesian
0.0000 0.0000 0.0000
1.4845 1.9086 1.4483
1.4845 1.9086 4.3658
0.0000 0.0000 2.9070
```

Results
Total magnetization (μB per formula unit): 0.00
Energy (eV/atom): -60.993



(5)
Material: Mn3SiTc
Method: DFT, meta-GGA SCAN
State: PBEsol geometry

Structure (POSCAR):
```
Mn3SiTc
1.0
4.4205 0.0000 0.0000
0.0000 4.4205 0.0000
0.0000 0.0000 4.4205
Mn Si Tc
3 1 1
Cartesian
0.0000 0.0000 2.2103
0.0000 2.2103 0.0000
2.2103 0.0000 0.0000
2.2103 2.2103 2.2103
0.0000 0.0000 0.0000
```

Results
Total magnetization (μB per formula unit): 9.43
Energy above the most stable polymorph in this dataset (meV per atom): 267
Energy relative to the elements, uncorrected (eV/atom): 1.189



(6)
Material: Ba2NCl
Method: DFT, meta-GGA SCAN
State: PBEsol geometry

Structure (POSCAR):
```
Ba2NCl
1.0
2.0405 1.1781 7.5578
-2.0405 1.1781 7.5578
0.0000 -2.3562 7.5578
Ba N Cl
2 1 1
Cartesian
0.0000 0.0000 5.2536
0.0000 0.0000 17.4199
0.0000 0.0000 11.3367
0.0000 0.0000 0.0000
```

Results
Total magnetization (μB per formula unit): 0.00
Energy relative to the elements, uncorrected (eV/atom): -1.536



(7)
Material: Mg2ScIn
Method: DFT, meta-GGA SCAN
State: PBEsol geometry

Structure (POSCAR):
```
Mg2ScIn
1.0
3.1839 0.0000 0.0000
0.0000 4.6579 0.0000
-1.6028 0.0000 6.0259
Mg Sc In
2 1 1
Cartesian
0.0000 0.0000 0.0000
-0.0081 2.3290 4.7263
1.5838 2.3290 1.8032
-0.0095 0.0000 3.0057
```

Results
Total magnetization (μB per formula unit): 0.37
Energy (eV/atom): -14.632



(8)
Material: Tb4Ga12Fe
Method: DFT, meta-GGA SCAN
State: PBEsol geometry

Structure (POSCAR):
```
Tb4Ga12Fe
1.0
-4.2266 4.2266 4.2266
4.2266 -4.2266 4.2266
4.2266 4.2266 -4.2266
Tb Ga Fe
4 12 1
Cartesian
2.1133 2.1133 -2.1133
2.1133 -2.1133 2.1133
-2.1133 2.1133 2.1133
2.1133 2.1133 2.1133
2.4038 0.0000 0.0000
6.0494 0.0000 0.0000
4.2266 2.1133 0.0000
4.2266 0.0000 2.1133
0.0000 2.4038 0.0000
0.0000 0.0000 2.4038
2.1133 4.2266 0.0000
2.1133 0.0000 4.2266
0.0000 6.0494 0.0000
0.0000 0.0000 6.0494
0.0000 4.2266 2.1133
0.0000 2.1133 4.2266
0.0000 0.0000 0.0000
```

Results
Total magnetization (μB per formula unit): 1.78
Energy (eV/atom): -24.225



(9)
Material: CdPtAu2
Method: DFT, meta-GGA SCAN
State: PBEsol geometry

Structure (POSCAR):
```
CdPtAu2
1.0
4.0543 0.0000 0.0000
0.0000 4.0543 0.0000
0.0000 0.0000 4.0741
Cd Pt Au
1 1 2
Cartesian
0.0000 0.0000 0.0000
2.0272 2.0272 0.0000
0.0000 2.0272 2.0370
2.0272 0.0000 2.0370
```

Results
Total magnetization (μB per formula unit): 0.00
Energy (eV/atom): -59.943



(10)
Material: CuAsPt
Method: DFT, meta-GGA SCAN
State: PBEsol geometry

Structure (POSCAR):
```
CuAsPt
1.0
-1.6885 1.6885 3.8161
1.6885 -1.6885 3.8161
1.6885 1.6885 -3.8161
Cu As Pt
1 1 1
Cartesian
0.0000 0.0000 0.0000
0.0000 0.0000 2.4193
0.0000 0.0000 5.0292
```

Results
Total magnetization (μB per formula unit): 0.00
Energy above the most stable polymorph in this dataset (meV per atom): 0



(11)
Material: TcAg2Sb
Method: DFT, meta-GGA SCAN
State: PBEsol geometry

Structure (POSCAR):
```
TcAg2Sb
1.0
0.0000 3.2328 3.2328
3.2328 0.0000 3.2328
3.2328 3.2328 0.0000
Tc Ag Sb
1 2 1
Cartesian
0.0000 0.0000 0.0000
3.2328 3.2328 3.2328
4.8492 4.8492 4.8492
1.6164 1.6164 1.6164
```

Results
Total magnetization (μB per formula unit): 0.00
Energy relative to the elements, uncorrected (eV/atom): 0.412



(12)
Material: Nd2MgGe2
Method: DFT, meta-GGA SCAN
State: PBEsol geometry

Structure (POSCAR):
```
Nd2MgGe2
1.0
7.3954 0.0000 0.0000
0.0000 7.3954 0.0000
0.0000 0.0000 4.3254
Nd Mg Ge
4 2 4
Cartesian
1.3201 2.3776 0.0000
2.3776 6.0753 0.0000
5.0179 1.3201 0.0000
6.0753 5.0179 0.0000
0.0000 0.0000 2.1627
3.6977 3.6977 2.1627
0.8926 4.5903 2.1627
2.8051 0.8926 2.1627
4.5903 6.5029 2.1627
6.5029 2.8051 2.1627
```

Results
Total magnetization (μB per formula unit): 0.00
Energy (eV/atom): -26.911



(13)
Material: Ba2NaGa2
Method: DFT, meta-GGA SCAN
State: PBEsol geometry

Structure (POSCAR):
```
Ba2NaGa2
1.0
9.1011 0.0000 0.0000
0.0000 9.1011 0.0000
0.0000 0.0000 4.2038
Ba Na Ga
4 2 4
Cartesian
1.6811 2.8694 0.0000
2.8694 7.4200 0.0000
6.2317 1.6811 0.0000
7.4200 6.2317 0.0000
0.0000 0.0000 2.1019
4.5506 4.5506 2.1019
0.9329 5.4835 2.1019
3.6176 0.9329 2.1019
5.4835 8.1682 2.1019
8.1682 3.6176 2.1019
```

Results
Total magnetization (μB per formula unit): 0.00
Energy (eV/atom): -23.445



(14)
Material: ScTcPt2
Method: DFT, meta-GGA SCAN
State: PBEsol geometry

Structure (POSCAR):
```
ScTcPt2
1.0
2.8226 0.0000 0.0000
0.0000 3.8716 0.0000
0.0000 0.0000 5.7468
Sc Tc Pt
1 1 2
Cartesian
0.0000 0.0000 0.0000
1.4113 1.9358 1.6981
0.0000 0.0000 2.8004
1.4113 1.9358 4.4037
```

Results
Total magnetization (μB per formula unit): 0.00
Energy above the most stable polymorph in this dataset (meV per atom): 220



(15)
Material: MnSe2Cl
Method: DFT, meta-GGA SCAN
State: PBEsol geometry

Structure (POSCAR):
```
MnSe2Cl
1.0
-1.6601 2.0499 5.8025
1.6601 -2.0499 5.8025
1.6601 2.0499 -5.8025
Mn Se Cl
1 2 1
Cartesian
0.0000 0.0000 0.0000
1.6601 0.0000 2.6681
0.0000 2.0499 3.1344
0.0000 0.0000 5.8025
```

Results
Total magnetization (μB per formula unit): 4.94
Energy above the most stable polymorph in this dataset (meV per atom): 319
Energy relative to the elements, uncorrected (eV/atom): -0.334



(16)
Material: AlCoF2
Method: DFT, meta-GGA SCAN
State: PBEsol geometry

Structure (POSCAR):
```
AlCoF2
1.0
1.3831 0.7986 6.8860
-1.3831 0.7986 6.8860
0.0000 -1.5971 6.8860
Al Co F
1 1 2
Cartesian
0.0000 0.0000 0.0000
0.0000 0.0000 10.3290
0.0000 0.0000 1.9421
0.0000 0.0000 18.7159
```

Results
Total magnetization (μB per formula unit): 2.05
Energy above the most stable polymorph in this dataset (meV per atom): 0
Energy relative to the elements, uncorrected (eV/atom): -1.553



(17)
Material: Cs2LiNdB2O6
Method: DFT, meta-GGA SCAN
State: PBEsol geometry

Structure (POSCAR):
```
Cs2LiNdB2O6
1.0
7.1870 0.0000 0.0000
0.0000 9.8742 0.0000
0.0000 0.0000 10.2673
Cs Li Nd B O
8 4 4 8 24
Cartesian
1.6147 0.7693 0.5364
1.6147 0.7693 4.5973
1.6147 4.1678 5.6700
1.6147 4.1678 9.7309
5.5723 5.7064 0.5364
5.5723 5.7064 4.5973
5.5723 9.1049 5.6700
5.5723 9.1049 9.7309
0.3652 1.5786 7.7004
0.3652 3.3585 2.5668
6.8217 6.5157 7.7004
6.8217 8.2956 2.5668
2.5877 7.1825 2.5668
2.5877 7.6288 7.7004
4.5993 2.2454 2.5668
4.5993 2.6917 7.7004
1.3955 7.4057 0.0000
1.3955 7.4057 5.1336
2.4699 0.6651 7.7004
2.4699 4.2720 2.5668
4.7170 5.6022 7.7004
4.7170 9.2091 2.5668
5.7914 2.4686 0.0000
5.7914 2.4686 5.1336
0.7449 7.0004 6.2786
0.7449 7.0004 9.1223
0.7449 7.8109 1.1450
0.7449 7.8109 3.9886
1.3609 5.1002 2.5668
1.3609 9.7111 7.7004
2.2914 2.0433 7.7004
2.2914 2.8938 2.5668
2.7940 7.4057 0.0000
2.7940 7.4057 5.1336
3.4505 5.0486 7.7004
3.4505 9.7628 2.5668
3.7364 0.1115 7.7004
3.7364 4.8257 2.5668
4.3930 2.4686 0.0000
4.3930 2.4686 5.1336
4.8955 6.9804 7.7004
4.8955 7.8309 2.5668
5.8261 0.1631 2.5668
5.8261 4.7740 7.7004
6.4421 2.0633 6.2786
6.4421 2.0633 9.1223
6.4421 2.8738 1.1450
6.4421 2.8738 3.9886
```

Results
Total magnetization (μB per formula unit): 0.00
Energy relative to the elements, uncorrected (eV/atom): -2.736



(18)
Material: SrMo2PbC
Method: DFT, meta-GGA SCAN
State: PBEsol geometry

Structure (POSCAR):
```
SrMo2PbC
1.0
5.2163 0.0000 0.0000
0.0000 5.2163 0.0000
0.0000 0.0000 6.1864
Sr Mo Pb C
1 2 1 1
Cartesian
0.0000 0.0000 0.0000
0.0000 2.6082 3.0932
2.6082 0.0000 3.0932
0.0000 0.0000 3.0932
2.6082 2.6082 0.0000
```

Results
Total magnetization (μB per formula unit): 5.90
Energy (eV/atom): -33.046



(19)
Material: VPO5
Method: DFT, meta-GGA SCAN
State: PBEsol geometry

Structure (POSCAR):
```
VPO5
1.0
3.6130 -3.5025 0.0000
3.6130 3.5025 0.0000
-3.2927 0.0000 6.4614
V P O
2 2 10
Cartesian
1.9666 1.8669 3.2307
3.6130 -1.8669 0.0000
4.4404 0.8667 1.3691
2.7941 -0.8667 4.5998
0.7865 1.1372 1.2926
0.2230 1.7340 3.9235
3.3629 1.7790 1.9559
-0.8598 -1.1372 4.5233
2.1592 0.0434 3.5111
3.8056 -0.0434 0.2804
1.8693 -1.7340 0.6928
1.7166 -1.7790 5.1866
5.0991 0.0183 2.4724
3.4528 -0.0183 5.7031
```

Results
Total magnetization (μB per formula unit): 0.00
Energy above the most stable polymorph in this dataset (meV per atom): 3
Energy relative to the elements, uncorrected (eV/atom): -2.476



(20)
Material: ZrAg2Pb
Method: DFT, meta-GGA SCAN
State: PBEsol geometry

Structure (POSCAR):
```
ZrAg2Pb
1.0
0.0000 3.4145 3.4145
3.4145 0.0000 3.4145
3.4145 3.4145 0.0000
Zr Ag Pb
1 2 1
Cartesian
0.0000 0.0000 0.0000
1.7072 1.7072 1.7072
3.4145 3.4145 3.4145
5.1217 5.1217 5.1217
```

Results
Total magnetization (μB per formula unit): 0.00
Energy (eV/atom): -42.295